Entry 1:
Density functional theory data (PBE) for a relaxed structure of TbDy4Mg5.

Calculated values
Energy, eV per cell: -31.81
Space group: No. 123
ρ, Mg/m³: 5.68
Energy of formation, kJ per mole of atoms: -7.7

Cell: 3.793 3.793 18.906 Å, 90.00 90.00 90.00°
Fractional coordinates of all 10 atoms:
1 Dy 0.000 0.000 0.400
2 Mg 0.500 0.500 0.899
3 Dy 0.000 0.000 0.800
4 Dy 0.000 0.000 0.200
5 Mg 0.500 0.500 0.500
6 Tb 0.000 0.000 0.000
7 Mg 0.500 0.500 0.101
8 Mg 0.500 0.500 0.300
9 Mg 0.500 0.500 0.700
10 Dy 0.000 0.000 0.600


Entry 2:
Density functional theory data (PBE) for a relaxed structure of Zr2ScSe.

Calculated values
Energy, eV per cell: -29.11
E_form (uncorrected), meV/atom: -549
Space group: No. 99
ρ, Mg/m³: 6.02

Cell: 3.479 3.480 6.979 Å, 90.00 90.00 90.00°
Fractional coordinates of all 4 atoms:
1 Sc 0.000 0.000 0.526
2 Zr 0.000 0.000 0.973
3 Se 0.500 0.500 0.746
4 Zr 0.500 0.500 0.256


Entry 3:
Density functional theory data (PBE) for a relaxed structure of Zn7CdGa4.

Calculated values
Energy, eV per cell: -21.13
Space group: No. 164
ρ, Mg/m³: 6.82
Energy of formation, kJ per mole of atoms: 6.6

Cell: 3.105 3.105 24.743 Å, 90.00 90.00 120.00°
Fractional coordinates of all 12 atoms:
1 Cd 0.000 0.000 0.500
2 Zn 0.667 0.333 0.835
3 Ga 0.333 0.667 0.918
4 Zn 0.333 0.667 0.408
5 Zn 0.000 0.000 0.756
6 Zn 0.000 0.000 0.244
7 Zn 0.333 0.667 0.165
8 Zn 0.667 0.333 0.592
9 Ga 0.333 0.667 0.674
10 Zn 0.000 0.000 0.000
11 Ga 0.667 0.333 0.326
12 Ga 0.667 0.333 0.082